# 1
## Cs2Pr10Ru2I17 (GGA-PBEsol)

Data for an optimized crystal structure of Cs2Pr10Ru2I17.

Summary:
N(E_F) = 17.23 states/eV per cell
DFT total energy = -0.1685 Ha/atom
space-group type = No. 12
total magnetic moment = 0.01 Bohr magnetons per cell

abc: 11.504 11.504 9.867
angles: 93.45 93.45 107.90
Sites, in units of the cell vectors:
Cs 0.173 0.827 0.000
Cs 0.827 0.173 0.000
Pr 0.170 0.170 0.443
Pr 0.208 0.511 0.571
Pr 0.293 0.293 0.820
Pr 0.437 0.437 0.316
Pr 0.489 0.792 0.429
Pr 0.511 0.208 0.571
Pr 0.563 0.563 0.684
Pr 0.707 0.707 0.180
Pr 0.792 0.489 0.429
Pr 0.830 0.830 0.557
Ru 0.360 0.360 0.569
Ru 0.640 0.640 0.431
I 0.029 0.690 0.580
I 0.062 0.062 0.718
I 0.116 0.454 0.862
I 0.209 0.209 0.129
I 0.248 0.598 0.268
I 0.310 0.971 0.420
I 0.402 0.752 0.732
I 0.454 0.116 0.862
I 0.500 0.500 0.000
I 0.546 0.884 0.138
I 0.598 0.248 0.268
I 0.690 0.029 0.580
I 0.752 0.402 0.732
I 0.791 0.791 0.871
I 0.884 0.546 0.138
I 0.938 0.938 0.282
I 0.971 0.310 0.420

=====

# 2
## CuNiAgP2 (GGA-PBEsol)

Data for an optimized crystal structure of CuNiAgP2.

Summary:
N(E_F) = 1.97 states/eV per cell
DFT total energy = -0.1572 Ha/atom
space-group type = No. 123
total magnetic moment = 0.00 Bohr magnetons per cell

abc: 4.299 4.299 4.392
angles: 90.00 90.00 90.00
Sites, in units of the cell vectors:
Cu 0.000 0.000 0.000
Ni 0.000 0.000 0.500
Ag 0.500 0.500 0.500
P 0.000 0.500 0.000
P 0.500 0.000 0.000

=====

# 3
## Re2TeMo (GGA-PBEsol)

Data for an optimized crystal structure of Re2TeMo.

Summary:
N(E_F) = 3.92 states/eV per cell
DFT total energy = -0.3580 Ha/atom
space-group type = No. 65
total magnetic moment = 0.00 Bohr magnetons per cell

abc: 2.812 2.812 9.319
angles: 90.00 90.00 112.51
Sites, in units of the cell vectors:
Re 0.000 0.000 0.222
Re 0.000 0.000 0.778
Te 0.500 0.500 0.500
Mo 0.500 0.500 0.000

=====

# 4
## MgSc3 (GGA-PBEsol)

Data for an optimized crystal structure of MgSc3.

Summary:
N(E_F) = 5.76 states/eV per cell
E above lowest polymorph = 0 meV/atom
space-group type = No. 123
total magnetic moment = 0.00 Bohr magnetons per cell

abc: 3.246 3.246 8.857
angles: 90.00 90.00 90.00
Sites, in units of the cell vectors:
Mg 0.000 0.000 0.000
Sc 0.000 0.000 0.500
Sc 0.500 0.500 0.251
Sc 0.500 0.500 0.749